(1)
Computed, not measured: an optimized crystal structure of U3PC2 at the PBE-GGA level of DFT.

Computed properties:
symmetry: C2/c (15)
V: 212 Å³/cell
total moment: 0.83 μB/f.u.

Unit cell a=6.3309 b=6.3309 c=6.5928 alpha=91.62 beta=91.62 gamma=53.57
With the nearest neighbours (Å) after each atom.
Fractional coordinates of all 12 atoms:
U: 0.1038 0.8962 0.7500  2 C 2.29
U: 0.2547 0.3457 0.4860  4 C 2.30-2.54
U: 0.3457 0.2547 0.9860  4 C 2.30-2.54
U: 0.6543 0.7453 0.0140  4 C 2.30-2.54
U: 0.7453 0.6543 0.5140  4 C 2.30-2.54
U: 0.8962 0.1038 0.2500  2 C 2.29
P: 0.3806 0.6194 0.2500  6 U 2.76-2.96
P: 0.6194 0.3806 0.7500  6 U 2.76-2.96
C: 0.0095 0.6047 0.8037  5 U 2.29-2.54
C: 0.3953 0.9905 0.6963  5 U 2.29-2.54
C: 0.6047 0.0095 0.3037  5 U 2.29-2.54
C: 0.9905 0.3953 0.1963  5 U 2.29-2.54

(2)
Computed, not measured: an optimized crystal structure of AlC2 at the PBE-GGA level of DFT.

Computed properties:
symmetry: R-3m (166)
V: 96 Å³/cell
distance to the lowest polymorph of the same formula: 91 meV/atom
total moment: 0.00 μB/f.u.

Unit cell a=2.5494 b=2.5494 c=17.0235 alpha=90.00 beta=90.00 gamma=120.00
With the nearest neighbours (Å) after each atom.
Fractional coordinates of all 9 atoms:
Al: 0.0000 0.0000 0.0000  6 Al 2.55, 2 C 2.81
Al: 0.3333 0.6667 0.6667  6 Al 2.55, 2 C 2.81
Al: 0.6667 0.3333 0.3333  6 Al 2.55, 2 C 2.81
C: 0.0000 0.0000 0.1650  3 C 1.47
C: 0.0000 0.0000 0.8350  3 C 1.47
C: 0.3333 0.6667 0.5017  3 C 1.47
C: 0.3333 0.6667 0.8316  3 C 1.47
C: 0.6667 0.3333 0.1684  3 C 1.47
C: 0.6667 0.3333 0.4983  3 C 1.47

(3)
Computed, not measured: an optimized crystal structure of Y2ScRu at the PBE-GGA level of DFT.

Computed properties:
symmetry: I-4m2 (119)
V: 184 Å³/cell
distance to the lowest polymorph of the same formula: 400 meV/atom
total moment: 0.00 μB/f.u.

Unit cell a=4.2849 b=4.2849 c=10.0170 alpha=90.00 beta=90.00 gamma=90.00
With the nearest neighbours (Å) after each atom.
Fractional coordinates of all 8 atoms:
Y: 0.0000 0.0000 0.0000  4 Sc 3.03, 4 Ru 3.30, 4 Y 3.30
Y: 0.0000 0.5000 0.2500  4 Ru 3.03, 4 Sc 3.30, 4 Y 3.30
Y: 0.5000 0.0000 0.7500  4 Ru 3.03, 4 Sc 3.30, 4 Y 3.30
Y: 0.5000 0.5000 0.5000  4 Sc 3.03, 4 Ru 3.30, 4 Y 3.30
Sc: 0.0000 0.0000 0.5000  8 Y 3.03-3.30, 4 Ru 3.30
Sc: 0.5000 0.5000 0.0000  8 Y 3.03-3.30, 4 Ru 3.30
Ru: 0.0000 0.5000 0.7500  8 Y 3.03-3.30, 4 Sc 3.30
Ru: 0.5000 0.0000 0.2500  8 Y 3.03-3.30, 4 Sc 3.30

ΔE_f in eV per formula unit, matching the order above: -0.6; 1.1; 0.3